TcHgI2N: relaxed, PBE-GGA.

Cell: 6.261 6.261 3.909 Å, 90.00 90.00 90.00°
Space group P4/mmm (No. 123)
Symmetry-distinct sites (fractional):
Tc 0.000 0.000 0.000 [1 per cell]
Hg 0.500 0.500 0.500 [1 per cell]
I 0.000 0.500 0.500 [2 per cell]
N 0.500 0.500 0.000 [1 per cell]

---

TcHgIN2: relaxed, PBE-GGA.

Cell: 4.231 4.231 7.266 Å, 90.00 90.00 90.00°
Space group P4/mmm (No. 123)
Symmetry-distinct sites (fractional):
Tc 0.000 0.000 0.000 [1 per cell]
Hg 0.500 0.500 0.500 [1 per cell]
I 0.500 0.500 0.000 [1 per cell]
N 0.000 0.500 0.500 [2 per cell]

---

| no. | energy above the most stable polymorph in this dataset (meV per atom) | formation energy (no corrections) (meV/atom) | D(E_F) (states/eV per atom) |
| --- | --- | --- | --- |
| 1 | 1332.8 | 1641.0 | 0.95 |
| 2 | 1549.4 | 2352.6 | 1.07 |